# 1
# UBiO5, optimized geometry, DFT PBE-GGA
data_UBiO5
_chemical_formula_sum 'U4 Bi4 O20'
_space_group_name_H-M_alt 'P 1'
_space_group_IT_number 1
_cell_length_a 8.148
_cell_length_b 7.465
_cell_length_c 10.460
_cell_angle_alpha 47.18
_cell_angle_beta 90.00
_cell_angle_gamma 90.00
loop_
_space_group_symop_operation_xyz
'x,y,z'
loop_
_atom_site_label
_atom_site_fract_x
_atom_site_fract_y
_atom_site_fract_z
_atom_site_occupancy
U1 0.491 0.158 0.182 1
U2 0.009 0.158 0.682 1
U3 0.509 0.842 0.818 1
U4 0.991 0.842 0.318 1
Bi1 0.880 0.564 0.829 1
Bi2 0.620 0.564 0.329 1
Bi3 0.120 0.436 0.171 1
Bi4 0.380 0.436 0.671 1
O1 0.911 0.855 0.477 1
O2 0.589 0.855 0.977 1
O3 0.089 0.145 0.523 1
O4 0.411 0.145 0.023 1
O5 0.580 0.208 0.320 1
O6 0.920 0.208 0.820 1
O7 0.420 0.792 0.680 1
O8 0.080 0.792 0.180 1
O9 0.648 0.474 0.960 1
O10 0.852 0.474 0.460 1
O11 0.352 0.526 0.040 1
O12 0.148 0.526 0.540 1
O13 0.011 0.739 0.904 1
O14 0.489 0.739 0.404 1
O15 0.989 0.261 0.096 1
O16 0.511 0.261 0.596 1
O17 0.766 0.936 0.706 1
O18 0.734 0.936 0.206 1
O19 0.234 0.064 0.294 1
O20 0.266 0.064 0.794 1
# * space-group type: P2_1/c, No. 14
# * V: 16.667 Å³/atom
# * formation energy without anion corrections: -2.03 eV/atom

***

# 2
# UBi6O12, optimized geometry, DFT PBE-GGA
data_UBi6O12
_chemical_formula_sum 'U1 Bi6 O12'
_space_group_name_H-M_alt 'P 1'
_space_group_IT_number 1
_cell_length_a 6.911
_cell_length_b 6.911
_cell_length_c 6.911
_cell_angle_alpha 100.03
_cell_angle_beta 100.03
_cell_angle_gamma 100.03
loop_
_space_group_symop_operation_xyz
'x,y,z'
loop_
_atom_site_label
_atom_site_fract_x
_atom_site_fract_y
_atom_site_fract_z
_atom_site_occupancy
U1 0.000 0.000 0.000 1
Bi1 0.693 0.851 0.413 1
Bi2 0.587 0.307 0.149 1
Bi3 0.149 0.587 0.307 1
Bi4 0.307 0.149 0.587 1
Bi5 0.413 0.693 0.851 1
Bi6 0.851 0.413 0.693 1
O1 0.814 0.574 0.443 1
O2 0.443 0.814 0.574 1
O3 0.574 0.443 0.814 1
O4 0.186 0.426 0.557 1
O5 0.557 0.186 0.426 1
O6 0.426 0.557 0.186 1
O7 0.088 0.975 0.299 1
O8 0.025 0.701 0.912 1
O9 0.701 0.912 0.025 1
O10 0.912 0.025 0.701 1
O11 0.975 0.299 0.088 1
O12 0.299 0.088 0.975 1
# * space-group type: R-3, No. 148
# * V: 16.470 Å³/atom
# * formation energy without anion corrections: -1.66 eV/atom

***

# 3
# UBiO, optimized geometry, DFT PBE-GGA
data_UBiO
_chemical_formula_sum 'U2 Bi2 O2'
_space_group_name_H-M_alt 'P 1'
_space_group_IT_number 1
_cell_length_a 3.352
_cell_length_b 6.495
_cell_length_c 6.158
_cell_angle_alpha 90.00
_cell_angle_beta 90.00
_cell_angle_gamma 104.95
loop_
_space_group_symop_operation_xyz
'x,y,z'
loop_
_atom_site_label
_atom_site_fract_x
_atom_site_fract_y
_atom_site_fract_z
_atom_site_occupancy
O1 0.500 0.000 0.500 1
O2 0.500 0.000 0.000 1
U1 0.045 0.090 0.250 1
U2 0.955 0.910 0.750 1
Bi1 0.225 0.451 0.750 1
Bi2 0.775 0.549 0.250 1
# * excess energy over the best structure of this formula in the dataset: 70 meV per atom
# * space-group type: Cmcm, No. 63
# * V: 21.593 Å³/atom
# * formation energy without anion corrections: -1.49 eV/atom